Arrangement a

First-principles (PBE) data for a geometry-optimized Cd7Hg4Pb structure, as listed in the Alexandria database.

Cell: 3.5374 3.5374 27.6087 Å, 90.00 90.00 120.00°
Last column: nearest neighbours and their distance in Å.
Element x y z (fractional)
Cd: 0.0000 0.0000 0.0000  6 Hg 3.04
Cd: 0.0000 0.0000 0.2454  3 Hg 3.05, 3 Cd 3.05
Cd: 0.0000 0.0000 0.7546  3 Hg 3.05, 3 Cd 3.05
Cd: 0.3333 0.6667 0.1636  3 Hg 3.05, 3 Cd 3.05
Cd: 0.3333 0.6667 0.4084  3 Hg 3.03, 3 Pb 3.25
Cd: 0.6667 0.3333 0.5916  3 Hg 3.03, 3 Pb 3.25
Cd: 0.6667 0.3333 0.8364  3 Hg 3.05, 3 Cd 3.05
Hg: 0.3333 0.6667 0.6727  6 Cd 3.03-3.05
Hg: 0.3333 0.6667 0.9183  6 Cd 3.04-3.05
Hg: 0.6667 0.3333 0.0817  6 Cd 3.04-3.05
Hg: 0.6667 0.3333 0.3273  6 Cd 3.03-3.05
Pb: 0.0000 0.0000 0.5000  6 Cd 3.25, 6 Pb 3.54

Computed properties:
Magnetic moment: 0.00 Bohr magnetons per cell
Crystal system: trigonal
Space group: P-3m1


Arrangement b

First-principles (PBE) data for a geometry-optimized Cd7Hg4Pb structure, as listed in the Alexandria database.

Cell: 6.9706 6.9706 9.3481 Å, 115.81 115.81 52.45°
Last column: nearest neighbours and their distance in Å.
Element x y z (fractional)
Cd: 0.0000 0.0000 0.0000  2 Cd 3.06, 2 Pb 3.08, 4 Hg 3.09-3.14
Cd: 0.2414 0.2414 0.9911  2 Hg 3.05, 5 Cd 3.06-3.34, 1 Pb 3.19
Cd: 0.2431 0.2431 0.6511  5 Hg 3.07-3.12, 2 Cd 3.12-3.19, 1 Pb 3.28
Cd: 0.4952 0.4952 0.6578  3 Cd 3.01-3.34, 4 Hg 3.08-3.13, 1 Pb 3.17
Cd: 0.5048 0.5048 0.3422  3 Cd 3.01-3.34, 4 Hg 3.08-3.13, 1 Pb 3.17
Cd: 0.7569 0.7569 0.3489  5 Hg 3.07-3.12, 2 Cd 3.12-3.19, 1 Pb 3.28
Cd: 0.7586 0.7586 0.0089  2 Hg 3.05, 5 Cd 3.06-3.34, 1 Pb 3.19
Hg: 0.0008 0.0008 0.6701  6 Cd 3.05-3.12, 2 Hg 3.17-3.19
Hg: 0.2518 0.2518 0.3241  7 Cd 3.05-3.14, 1 Hg 3.19
Hg: 0.7482 0.7482 0.6759  7 Cd 3.05-3.14, 1 Hg 3.19
Hg: 0.9992 0.9992 0.3299  6 Cd 3.05-3.12, 2 Hg 3.17-3.19
Pb: 0.5000 0.5000 0.0000  8 Cd 3.08-3.28

Computed properties:
Magnetic moment: 0.00 Bohr magnetons per cell
Crystal system: monoclinic
Space group: C2/m


Which structure above is the least stable one? arrangement b is the least stable one.